First-principles (PBE) data for crystalline Pu2Zn15In2 at its relaxed geometry, as listed in Alexandria.

Calculated volume   329 Å³/cell
D(E_F)   23.357 states/eV/f.u.
Total magnetic moment   0.599 μB/atom
Crystal system   trigonal
Formation energy from the elements   -0.114 eV per atom

Cell lengths 6.948, 6.948, 6.948 Å; angles 83.29, 83.29, 83.29 degrees
Each line ends with the local moment (μB).
Element x y z (fractional)
Pu 0.659 0.659 0.659  5.36
Zn 0.829 0.354 0.354  0.01
Zn 0.354 0.829 0.354  0.01
Zn 0.690 0.310 0.000  0.01
Zn 0.690 0.000 0.310  0.01
Zn 0.646 0.171 0.646  0.01
In 0.895 0.895 0.895  0.00
Zn 0.000 0.000 0.500  0.00
Zn 0.500 0.000 0.000  0.00
Zn 0.171 0.646 0.646  0.01
Zn 0.000 0.500 0.000  0.00
Zn 0.000 0.310 0.690  0.01
Zn 0.646 0.646 0.171  0.01
In 0.105 0.105 0.105  0.00
Zn 0.310 0.000 0.690  0.01
Zn 0.354 0.354 0.829  0.01
Zn 0.310 0.690 0.000  0.01
Zn 0.000 0.690 0.310  0.01
Pu 0.341 0.341 0.341  5.36

=====

First-principles (PBE) data for crystalline Mn2CdPt at its relaxed geometry, as listed in Alexandria.

Calculated volume   130 Å³/cell
D(E_F)   6.869 states/eV/f.u.
Total magnetic moment   0.001 μB/atom
Crystal system   tetragonal
Formation energy from the elements   0.866 eV per atom

Cell lengths 7.062, 7.062, 5.630 Å; angles 51.16, 51.16, 90.00 degrees
Element x y z (fractional)
Mn 0.375 0.336 0.750
Cd 0.250 0.750 0.500
Pt 0.000 0.000 0.000
Cd 0.500 0.500 0.000
Mn 0.875 0.914 0.750
Mn 0.664 0.125 0.250
Pt 0.750 0.250 0.500
Mn 0.086 0.625 0.250

=====

First-principles (PBE) data for crystalline NaAgSn2I6 at its relaxed geometry, as listed in Alexandria.

ΔE_f (raw)   -55 kJ/mol of atoms
Calculated volume   399 Å³/cell
D(E_F)   0.000 states/eV/f.u.
Total magnetic moment   0.000 μB/atom
Crystal system   trigonal

Cell lengths 7.965, 7.964, 8.592 Å; angles 62.38, 62.37, 59.98 degrees
Element x y z (fractional)
Sn 0.007 0.007 0.979
I 0.230 0.934 0.242
I 0.419 0.720 0.752
I 0.934 0.594 0.242
I 0.720 0.109 0.752
I 0.109 0.419 0.752
Na 0.822 0.822 0.534
I 0.594 0.230 0.242
Ag 0.320 0.319 0.041
Sn 0.507 0.507 0.478

=====

First-principles (PBE) data for crystalline Si3Hg at its relaxed geometry, as listed in Alexandria.

ΔE_f (raw)   39 kJ/mol of atoms
Calculated volume   156 Å³/cell
D(E_F)   1.584 states/eV/f.u.
Total magnetic moment   0.000 μB/atom
Crystal system   orthorhombic

Cell lengths 7.392, 7.392, 3.320 Å; angles 90.00, 90.00, 120.82 degrees
Element x y z (fractional)
Si 0.360 0.990 0.250
Si 0.990 0.360 0.750
Hg 0.404 0.596 0.750
Si 0.926 0.074 0.250
Hg 0.596 0.404 0.250
Si 0.640 0.010 0.750
Si 0.010 0.640 0.250
Si 0.074 0.926 0.750

=====

First-principles (PBE) data for crystalline TaTc2PbO at its relaxed geometry, as listed in Alexandria.

ΔE_f (raw)   5 kJ/mol of atoms
Calculated volume   77 Å³/cell
D(E_F)   3.421 states/eV/f.u.
Total magnetic moment   0.158 μB/atom
Crystal system   tetragonal

Cell lengths 4.282, 4.182, 4.282 Å; angles 90.00, 90.00, 90.00 degrees
Each line ends with the local moment (μB).
Element x y z (fractional)
O 0.000 0.000 0.000  -0.01
Tc 0.500 0.000 0.000  0.23
Pb 0.500 0.500 0.500  0.00
Ta 0.000 0.500 0.000  0.05
Tc 0.000 0.000 0.500  0.44

=====

First-principles (PBE) data for crystalline TmGa4Pd6 at its relaxed geometry, as listed in Alexandria.

Calculated volume   182 Å³/cell
D(E_F)   4.964 states/eV/f.u.
Total magnetic moment   0.000 μB/atom
Crystal system   hexagonal
Formation energy from the elements   -0.745 eV per atom

Cell lengths 3.838, 7.398, 7.398 Å; angles 120.00, 90.00, 90.00 degrees
Element x y z (fractional)
Ga 0.500 0.803 0.197
Pd 0.500 0.610 0.805
Tm 0.000 0.000 0.000
Pd 0.500 0.195 0.390
Pd 0.000 0.933 0.467
Ga 0.500 0.803 0.605
Pd 0.000 0.533 0.067
Pd 0.000 0.533 0.467
Pd 0.500 0.195 0.805
Ga 0.500 0.395 0.197
Ga 0.000 0.333 0.667